(1)
{"formula": "LiTl2Br6", "functional": "PBE", "state": "optimized geometry", "total_energy_ev_per_cell": -22.69, "crystal_system": "monoclinic", "rho_g_cm3": 4.3, "e_form_raw_ev_per_fu": -6.0, "cell": [[6.801, -2.338, 0.000], [6.801, 2.338, 0.000], [-1.260, 0.000, 10.755]], "species": ["Li", "Tl", "Tl", "Br", "Br", "Br", "Br", "Br", "Br"], "frac_coords": [[0.000, 0.000, 0.000], [0.279, 0.279, 0.249], [0.721, 0.721, 0.751], [0.081, 0.081, 0.232], [0.163, 0.163, 0.621], [0.374, 0.374, 0.043], [0.626, 0.626, 0.957], [0.837, 0.837, 0.379], [0.919, 0.919, 0.768]]}

=====

(2)
{"formula": "ZrFe2Ir", "functional": "PBE", "state": "optimized geometry", "total_energy_ev_per_cell": -101.53, "crystal_system": "trigonal", "rho_g_cm3": 10.8, "cell": [[2.874, 0.000, 0.000], [-1.437, 2.489, 0.000], [0.000, 0.000, 25.539]], "species": ["Zr", "Zr", "Zr", "Fe", "Fe", "Fe", "Fe", "Fe", "Fe", "Ir", "Ir", "Ir"], "frac_coords": [[0.000, 0.000, 0.000], [0.333, 0.667, 0.667], [0.667, 0.333, 0.333], [0.000, 0.000, 0.494], [0.000, 0.000, 0.757], [0.333, 0.667, 0.161], [0.333, 0.667, 0.423], [0.667, 0.333, 0.090], [0.667, 0.333, 0.828], [0.000, 0.000, 0.241], [0.333, 0.667, 0.908], [0.667, 0.333, 0.575]]}

=====

(3)
{"formula": "BaYI2O", "functional": "PBE", "state": "optimized geometry", "total_energy_ev_per_cell": -25.33, "crystal_system": "tetragonal", "rho_g_cm3": 4.9, "e_form_raw_ev_per_fu": -8.9, "de_polymorph_ev_per_atom": 0.000, "cell": [[6.292, 0.000, 0.000], [0.000, 6.292, 0.000], [0.000, 0.000, 4.238]], "species": ["Ba", "Y", "I", "I", "O"], "frac_coords": [[0.000, 0.000, 0.000], [0.500, 0.500, 0.500], [0.000, 0.500, 0.500], [0.500, 0.000, 0.500], [0.500, 0.500, 0.000]]}

=====

(4)
{"formula": "Li2Tb2HoIn2", "functional": "PBE", "state": "optimized geometry", "total_energy_ev_per_cell": -24.70, "crystal_system": "trigonal", "rho_g_cm3": 6.7, "cell": [[2.422, 1.398, 8.824], [-2.422, 1.398, 8.824], [0.000, -2.797, 8.824]], "species": ["Li", "Li", "Tb", "Tb", "Ho", "In", "In"], "frac_coords": [[0.106, 0.106, 0.106], [0.894, 0.894, 0.894], [0.373, 0.373, 0.373], [0.627, 0.627, 0.627], [0.500, 0.500, 0.500], [0.237, 0.237, 0.237], [0.763, 0.763, 0.763]]}

=====

(5)
{"formula": "RePCl2", "functional": "PBE", "state": "optimized geometry", "total_energy_ev_per_cell": -38.25, "crystal_system": "orthorhombic", "rho_g_cm3": 5.3, "e_form_raw_ev_per_fu": 2.4, "de_polymorph_ev_per_atom": 0.889, "cell": [[2.814, 0.000, 0.000], [0.000, 5.391, 0.000], [0.000, 0.000, 11.831]], "species": ["Re", "Re", "P", "P", "Cl", "Cl", "Cl", "Cl"], "frac_coords": [[0.000, 0.000, 0.000], [0.500, 0.500, 0.000], [0.000, 0.000, 0.500], [0.500, 0.500, 0.500], [0.000, 0.500, 0.164], [0.000, 0.500, 0.836], [0.500, 0.000, 0.164], [0.500, 0.000, 0.836]]}

=====

(6)
{"formula": "MnTePb2", "functional": "PBE", "state": "optimized geometry", "total_energy_ev_per_cell": -37.00, "crystal_system": "tetragonal", "rho_g_cm3": 8.8, "e_form_raw_ev_per_fu": 1.2, "cell": [[4.513, 0.000, 0.000], [0.000, 4.513, 0.000], [0.000, 0.000, 11.026]], "species": ["Mn", "Mn", "Te", "Te", "Pb", "Pb", "Pb", "Pb"], "frac_coords": [[0.000, 0.000, 0.000], [0.500, 0.500, 0.500], [0.000, 0.500, 0.250], [0.500, 0.000, 0.750], [0.000, 0.000, 0.500], [0.000, 0.500, 0.750], [0.500, 0.000, 0.250], [0.500, 0.500, 0.000]]}